Compound: Li2HfZrSn2Pt2
Source: OQMD via LeMat-Bulk
Functional: PBE
Structure: optimized geometry

Lattice parameters (Å, degrees): 4.5417 4.5417 6.8795 90.00 90.00 90.00
Space group P-4m2 (No. 115)
One atom of each set of equivalent atoms:
Li1 0.0000 0.5000 0.2441
Hf1 0.5000 0.5000 0.0000
Zr1 0.0000 0.0000 0.5000
Sn1 0.0000 0.0000 0.0000
Sn2 0.5000 0.5000 0.5000
Pt1 0.0000 0.5000 0.7777

Results
DFT total energy = -0.43558 Ry per atom